The following is a PBE calculation of an optimized crystal structure of Pr2Sc3Si4, from OQMD via LeMat-Bulk.

Computed properties:
Calculated total energy in eV per atom: -6.377

a = 7.2468 Å, b = 14.2337 Å, c = 7.5412 Å
α = 90.00°, β = 90.00°, γ = 90.00°
Last column: nearest neighbours and their distance in Å.
Sites, in units of the cell vectors:
Sc (0.3387, 0.7500, 0.0000)  6 Si 2.85-3.02
Sc (0.1708, 0.8746, 0.6756)  6 Si 2.76-2.85
Sc (0.3292, 0.1254, 0.1756)  6 Si 2.76-2.85
Sc (0.8292, 0.3746, 0.3244)  6 Si 2.76-2.85
Pr (0.0116, 0.9026, 0.1725)  6 Si 3.02-3.14
Pr (0.4884, 0.4026, 0.6725)  6 Si 3.02-3.14
Sc (0.6613, 0.2500, 0.0000)  6 Si 2.85-3.02
Pr (0.0116, 0.5974, 0.1725)  6 Si 3.02-3.14
Si (0.2123, 0.7500, 0.3821)  1 Si 2.59, 3 Sc 2.85
Sc (0.1708, 0.6254, 0.6756)  6 Si 2.76-2.85
Sc (0.6708, 0.8746, 0.8244)  6 Si 2.76-2.85
Si (0.8487, 0.9603, 0.5372)  1 Si 2.53, 2 Sc 2.80-2.83
Sc (0.1613, 0.2500, 0.5000)  6 Si 2.85-3.02
Si (0.7123, 0.7500, 0.1179)  1 Si 2.59, 3 Sc 2.85
Si (0.4659, 0.7500, 0.6246)  1 Si 2.59, 5 Sc 2.76-2.86
Si (0.5341, 0.2500, 0.3754)  1 Si 2.59, 5 Sc 2.76-2.86
Pr (0.4884, 0.0974, 0.6725)  6 Si 3.02-3.14
Si (0.6513, 0.0397, 0.0372)  1 Si 2.53, 2 Sc 2.80-2.83
Pr (0.5116, 0.5974, 0.3275)  6 Si 3.02-3.14
Si (0.6513, 0.4603, 0.0372)  1 Si 2.53, 2 Sc 2.80-2.83
Si (0.2877, 0.2500, 0.8821)  1 Si 2.59, 3 Sc 2.85
Si (0.3487, 0.5397, 0.9628)  1 Si 2.53, 2 Sc 2.80-2.83
Si (0.1513, 0.4603, 0.4628)  1 Si 2.53, 2 Sc 2.80-2.83
Sc (0.6708, 0.6254, 0.8244)  6 Si 2.76-2.85
Si (0.7877, 0.2500, 0.6179)  1 Si 2.59, 3 Sc 2.85
Pr (0.9884, 0.0974, 0.8275)  6 Si 3.02-3.14
Pr (0.9884, 0.4026, 0.8275)  6 Si 3.02-3.14
Pr (0.5116, 0.9026, 0.3275)  6 Si 3.02-3.14
Sc (0.3292, 0.3746, 0.1756)  6 Si 2.76-2.85
Si (0.0341, 0.2500, 0.1246)  1 Si 2.59, 5 Sc 2.76-2.86
Sc (0.8387, 0.7500, 0.5000)  6 Si 2.85-3.02
Si (0.9659, 0.7500, 0.8754)  1 Si 2.59, 5 Sc 2.76-2.86
Sc (0.8292, 0.1254, 0.3244)  6 Si 2.76-2.85
Si (0.1513, 0.0397, 0.4628)  1 Si 2.53, 2 Sc 2.80-2.83
Si (0.3487, 0.9603, 0.9628)  1 Si 2.53, 2 Sc 2.80-2.83
Si (0.8487, 0.5397, 0.5372)  1 Si 2.53, 2 Sc 2.80-2.83